Entry 1:
# LaSn2PdPt

An optimized crystal structure of LaSn2PdPt (PBE, OQMD).

Space group: P2_1/m (11)
Magnetic moment in μB/f.u.: 0.0
ΔE to the lowest computed polymorph in meV per atom: 32

Geometry as POSCAR:
```
LaSn2PdPt
1.0
4.7140 0.0000 0.0000
0.0000 4.6496 0.0000
-0.3060 0.0000 10.5641
La Sn Pd Pt
2 4 2 2
Cartesian
1.0377 1.1624 2.5332
3.3704 3.4872 8.0309
1.0234 3.4872 5.2694
1.1309 1.1624 9.2649
3.2772 3.4872 1.2993
3.3846 1.1624 5.2947
1.0202 1.1624 6.6475
3.3879 3.4872 3.9167
0.6049 3.4872 10.5386
3.8032 1.1624 0.0256
```

***

Entry 2:
# LaSn2PdPt

An optimized crystal structure of LaSn2PdPt (PBE, OQMD).

Space group: P2_1/m (11)
Magnetic moment in μB/f.u.: 0.0
ΔE to the lowest computed polymorph in meV per atom: 0

Geometry as POSCAR:
```
LaSn2PdPt
1.0
4.6568 0.0000 0.0000
0.0000 4.6441 0.0000
-0.1538 0.0000 10.6749
La Sn Pd Pt
2 4 2 2
Cartesian
1.0884 1.1610 2.6133
3.4146 3.4831 8.0617
1.0888 3.4831 5.3339
1.1197 1.1610 9.3415
3.3832 3.4831 1.3334
3.4142 1.1610 5.3410
0.8932 3.4831 10.6734
3.6098 1.1610 0.0015
1.0838 1.1610 6.7102
3.4192 3.4831 3.9647
```

***

Entry 3:
# LaTb2Sn3PdPt2

An optimized crystal structure of LaTb2Sn3PdPt2 (PBE, OQMD).

Space group: Amm2 (38)
Magnetic moment in μB/f.u.: 0.0
DFT total energy in eV per atom: -5.87

Geometry as POSCAR:
```
LaTb2Sn3PdPt2
1.0
4.0899 0.0000 0.0000
0.0000 6.6048 3.7912
0.0000 -6.6048 3.7912
La Tb Sn Pd Pt
1 2 3 1 2
Cartesian
0.0000 0.0000 0.0000
0.0000 -2.7101 2.8971
0.0000 2.7101 2.8971
2.0450 0.0000 2.5399
2.0450 -1.7005 5.3858
2.0450 1.7005 5.3858
0.0000 0.0000 4.4057
2.0450 -4.3582 4.4480
2.0450 4.3582 4.4480
```

***

Entry 4:
# La2TbSn3PdPt2

An optimized crystal structure of La2TbSn3PdPt2 (PBE, OQMD).

Space group: Amm2 (38)
Magnetic moment in μB/f.u.: 0.0
DFT total energy in eV per atom: -5.91

Geometry as POSCAR:
```
La2TbSn3PdPt2
1.0
4.1477 0.0000 0.0000
0.0000 6.6393 3.8418
0.0000 -6.6393 3.8418
La Tb Sn Pd Pt
2 1 3 1 2
Cartesian
0.0000 -3.8881 3.8418
0.0000 3.8881 3.8418
0.0000 0.0000 2.9292
2.0738 0.0000 0.3476
2.0738 -1.6395 5.0990
2.0738 1.6395 5.0990
0.0000 0.0000 6.0378
2.0738 -2.1515 2.2577
2.0738 2.1515 2.2577
```

***

Entry 5:
# La2TmSn3PdPt2

An optimized crystal structure of La2TmSn3PdPt2 (PBE, OQMD).

Space group: Amm2 (38)
Magnetic moment in μB/f.u.: 0.0
DFT total energy in eV per atom: -5.88

Geometry as POSCAR:
```
La2TmSn3PdPt2
1.0
4.1344 0.0000 0.0000
0.0000 6.6115 3.8386
0.0000 -6.6115 3.8386
La Tm Sn Pd Pt
2 1 3 1 2
Cartesian
0.0000 -3.8749 3.8386
0.0000 3.8749 3.8386
0.0000 0.0000 2.9368
2.0672 0.0000 0.3553
2.0672 -1.6349 5.0878
2.0672 1.6349 5.0878
0.0000 0.0000 6.0109
2.0672 -2.1077 2.2699
2.0672 2.1077 2.2699
```

***

Entry 6:
# LaTm2Sn3PdPt2

An optimized crystal structure of LaTm2Sn3PdPt2 (PBE, OQMD).

Space group: Amm2 (38)
Magnetic moment in μB/f.u.: 0.0
DFT total energy in eV per atom: -5.83

Geometry as POSCAR:
```
LaTm2Sn3PdPt2
1.0
4.0693 0.0000 0.0000
0.0000 6.5887 3.7551
0.0000 -6.5887 3.7551
La Tm Sn Pd Pt
1 2 3 1 2
Cartesian
0.0000 0.0000 0.0000
0.0000 -2.6995 2.8733
0.0000 2.6995 2.8733
2.0346 0.0000 2.5052
2.0346 -1.7039 5.3365
2.0346 1.7039 5.3365
0.0000 0.0000 4.3430
2.0346 -4.3204 4.4119
2.0346 4.3204 4.4119
```

***

Entry 7:
# La2YSn3PdPt2

An optimized crystal structure of La2YSn3PdPt2 (PBE, OQMD).

Space group: Amm2 (38)
Magnetic moment in μB/f.u.: 0.0
DFT total energy in eV per atom: -6.11

Geometry as POSCAR:
```
La2YSn3PdPt2
1.0
4.1438 0.0000 0.0000
0.0000 6.6461 3.8427
0.0000 -6.6461 3.8427
La Y Sn Pd Pt
2 1 3 1 2
Cartesian
0.0000 -3.8963 3.8427
0.0000 3.8963 3.8427
0.0000 0.0000 2.9464
2.0719 0.0000 0.3622
2.0719 -1.6410 5.0940
2.0719 1.6410 5.0940
0.0000 0.0000 6.0428
2.0719 -2.1622 2.2557
2.0719 2.1622 2.2557
```

***

Entry 8:
# La2Tl2PdPt3

An optimized crystal structure of La2Tl2PdPt3 (PBE, OQMD).

Space group: P3m1 (156)
Magnetic moment in μB/f.u.: 0.0
DFT total energy in eV per atom: -5.48

Geometry as POSCAR:
```
La2Tl2PdPt3
1.0
4.7602 0.0000 0.0000
-2.3801 4.1224 0.0000
0.0000 0.0000 9.2926
La Tl Pd Pt
2 2 1 3
Cartesian
0.0000 0.0000 0.0000
0.0000 2.7483 4.7059
2.3801 1.3741 2.3601
2.3801 1.3741 7.0134
0.0000 2.7483 1.5506
0.0000 0.0000 3.1694
0.0000 0.0000 6.1136
0.0000 2.7483 7.9283
```